DFT (PBE) results for a relaxed ZrZnCd crystal.

## Properties
energy relative to the elements = 0.40 eV/atom
crystal system = cubic
DFT total energy = -3.166 eV per atom

a b c (Å): 4.6254 4.6254 4.6254
angles (deg): 60.00 60.00 60.00
With the nearest neighbours (Å) after each atom.
Element x y z (fractional)
1 Cd 0.2500 0.2500 0.2500  4 Zr 2.83
2 Zn 0.7500 0.7500 0.7500  4 Zr 2.83
3 Zr 0.0000 0.0000 0.0000  4 Cd 2.83, 4 Zn 2.83

DFT (PBE) results for a relaxed ZrZnCd2 crystal.

## Properties
energy relative to the elements = -0.03 eV/atom
crystal system = cubic
DFT total energy = -2.932 eV per atom

a b c (Å): 4.8181 4.8181 4.8181
angles (deg): 60.00 60.00 60.00
With the nearest neighbours (Å) after each atom.
Element x y z (fractional)
1 Cd 0.0000 0.0000 0.0000  4 Cd 2.95, 4 Zr 2.95
2 Cd 0.7500 0.7500 0.7500  4 Zn 2.95, 4 Cd 2.95
3 Zn 0.5000 0.5000 0.5000  4 Cd 2.95, 4 Zr 2.95
4 Zr 0.2500 0.2500 0.2500  4 Cd 2.95, 4 Zn 2.95

DFT (PBE) results for a relaxed ZrCd crystal.

## Properties
energy relative to the elements = -0.02 eV/atom
crystal system = orthorhombic
DFT total energy = -4.738 eV per atom

a b c (Å): 5.4975 8.2752 5.1154
angles (deg): 90.00 90.00 70.61
With the nearest neighbours (Å) after each atom.
Element x y z (fractional)
1 Cd 0.4037 0.2000 0.0000  7 Cd 3.12-3.16, 5 Zr 3.15-3.20
2 Cd 0.8038 0.4000 0.0000  7 Cd 3.12-3.16, 5 Zr 3.15-3.19
3 Cd 0.6008 0.8000 0.0000  10 Zr 3.09-3.17, 2 Cd 3.12
4 Cd 0.0671 0.2024 0.5000  6 Cd 3.12-3.15, 6 Zr 3.14-3.25
5 Cd 0.4695 0.3977 0.5000  6 Cd 3.12-3.15, 6 Zr 3.14-3.25
6 Zr 0.2033 0.6057 0.0000  5 Zr 3.03-3.19, 7 Cd 3.11-3.19
7 Zr 0.0090 0.9943 0.0000  5 Zr 3.03-3.19, 7 Cd 3.11-3.20
8 Zr 0.8542 0.6090 0.5000  5 Zr 2.98-3.19, 7 Cd 3.09-3.25
9 Zr 0.2587 0.8000 0.5000  8 Zr 3.09-3.13, 4 Cd 3.14-3.17
10 Zr 0.6632 0.9910 0.5000  5 Zr 2.98-3.19, 7 Cd 3.09-3.25

DFT (PBE) results for a relaxed ZrCd crystal.

## Properties
energy relative to the elements = -0.05 eV/atom
crystal system = monoclinic
DFT total energy = -4.768 eV per atom

a b c (Å): 8.4490 6.3268 5.0388
angles (deg): 90.00 90.00 101.44
With the nearest neighbours (Å) after each atom.
Element x y z (fractional)
1 Cd 0.6590 0.1760 0.0000  6 Cd 3.08-3.15, 6 Zr 3.14-3.25
2 Cd 0.3361 0.3321 0.0000  7 Cd 3.08-3.20, 5 Zr 3.15-3.23
3 Cd 0.3380 0.8386 0.0000  7 Cd 3.08-3.20, 5 Zr 3.10-3.30
4 Cd 0.5527 0.3901 0.5000  7 Cd 3.08-3.20, 5 Zr 3.15-3.23
5 Cd 0.2299 0.5463 0.5000  6 Cd 3.08-3.15, 6 Zr 3.14-3.25
6 Cd 0.5509 0.8836 0.5000  7 Cd 3.08-3.20, 5 Zr 3.10-3.30
7 Zr 0.9911 0.0031 0.0000  9 Zr 3.06-3.19, 3 Cd 3.21-3.30
8 Zr 0.0045 0.5099 0.0000  7 Zr 3.06-3.19, 5 Cd 3.14-3.25
9 Zr 0.6714 0.6761 0.0000  4 Zr 3.06-3.19, 8 Cd 3.10-3.21
10 Zr 0.2175 0.0461 0.5000  4 Zr 3.06-3.19, 8 Cd 3.10-3.21
11 Zr 0.8844 0.2123 0.5000  7 Zr 3.06-3.19, 5 Cd 3.14-3.25
12 Zr 0.8978 0.7191 0.5000  9 Zr 3.06-3.19, 3 Cd 3.21-3.30

DFT (PBE) results for a relaxed ZrCd crystal.

## Properties
energy relative to the elements = 0.01 eV/atom
crystal system = monoclinic
DFT total energy = -4.714 eV per atom

a b c (Å): 8.2179 6.4835 5.0257
angles (deg): 90.00 90.00 101.28
With the nearest neighbours (Å) after each atom.
Element x y z (fractional)
1 Cd 0.3103 0.3315 0.0000  7 Zr 3.03-3.27, 5 Cd 3.05-3.27
2 Cd 0.9797 0.4867 0.0000  8 Cd 3.03-3.29, 4 Zr 3.07-3.26
3 Cd 0.3200 0.8299 0.0000  5 Cd 3.03-3.27, 7 Zr 3.04-3.31
4 Cd 0.9021 0.2257 0.5000  5 Cd 3.03-3.27, 7 Zr 3.04-3.31
5 Cd 0.2426 0.5689 0.5000  8 Cd 3.03-3.29, 4 Zr 3.07-3.26
6 Cd 0.9119 0.7240 0.5000  7 Zr 3.03-3.27, 5 Cd 3.05-3.27
7 Zr 0.6358 0.1658 0.0000  5 Cd 3.04-3.31, 7 Zr 3.06-3.38
8 Zr 0.6526 0.6490 0.0000  6 Zr 2.97-3.11, 5 Cd 3.07-3.27
9 Zr 0.9758 0.9884 0.0000  8 Cd 3.03-3.26, 4 Zr 3.10-3.33
10 Zr 0.2464 0.0671 0.5000  8 Cd 3.03-3.26, 4 Zr 3.10-3.33
11 Zr 0.5696 0.4066 0.5000  6 Zr 2.97-3.11, 5 Cd 3.07-3.27
12 Zr 0.5864 0.8898 0.5000  5 Cd 3.04-3.31, 7 Zr 3.06-3.38

DFT (PBE) results for a relaxed ZrCd crystal.

## Properties
energy relative to the elements = -0.03 eV/atom
crystal system = orthorhombic
DFT total energy = -4.750 eV per atom

a b c (Å): 5.0545 13.5262 5.0633
angles (deg): 90.00 90.00 90.00
With the nearest neighbours (Å) after each atom.
Element x y z (fractional)
1 Cd 0.9165 0.5002 0.0000  4 Cd 2.99-3.00, 4 Zr 3.07-3.08
2 Cd 0.4175 0.6187 0.0000  4 Cd 2.99-3.00, 4 Zr 3.09
3 Cd 0.4175 0.8813 0.0000  4 Cd 2.99-3.00, 4 Zr 3.09
4 Cd 0.9165 0.9998 0.0000  4 Cd 2.99-3.00, 4 Zr 3.07-3.08
5 Cd 0.4169 0.0002 0.5000  4 Cd 2.99-3.00, 4 Zr 3.07-3.08
6 Cd 0.9160 0.1187 0.5000  4 Cd 2.99-3.00, 4 Zr 3.09
7 Cd 0.9160 0.3813 0.5000  4 Cd 2.99-3.00, 4 Zr 3.09
8 Cd 0.4169 0.4998 0.5000  4 Cd 2.99-3.00, 4 Zr 3.07-3.08
9 Zr 0.4159 0.1292 0.0000  5 Zr 3.01-3.27, 5 Cd 3.07-3.35
10 Zr 0.9159 0.2500 0.0000  4 Zr 3.01, 4 Cd 3.09
11 Zr 0.4159 0.3708 0.0000  5 Zr 3.01-3.27, 5 Cd 3.07-3.35
12 Zr 0.9176 0.7500 0.0000  4 Zr 3.01, 4 Cd 3.09
13 Zr 0.4157 0.2500 0.5000  4 Zr 3.01, 4 Cd 3.09
14 Zr 0.9173 0.6292 0.5000  5 Zr 3.01-3.27, 5 Cd 3.07-3.35
15 Zr 0.4173 0.7500 0.5000  4 Zr 3.01, 4 Cd 3.09
16 Zr 0.9173 0.8708 0.5000  5 Zr 3.01-3.27, 5 Cd 3.07-3.35

DFT (PBE) results for a relaxed ZrCd crystal.

## Properties
energy relative to the elements = -0.13 eV/atom
crystal system = tetragonal
DFT total energy = -4.849 eV per atom

a b c (Å): 3.1243 3.1243 9.0050
angles (deg): 90.00 90.00 90.00
With the nearest neighbours (Å) after each atom.
Element x y z (fractional)
1 Cd 0.0000 0.0000 0.3803  8 Cd 3.08-3.12, 4 Zr 3.18
2 Cd 0.5000 0.5000 0.6194  8 Cd 3.08-3.12, 4 Zr 3.18
3 Zr 0.5000 0.5000 0.1265  8 Zr 3.12-3.17, 4 Cd 3.18
4 Zr 0.0000 0.0000 0.8738  8 Zr 3.12-3.17, 4 Cd 3.18

DFT (PBE) results for a relaxed ZrCd crystal.

## Properties
energy relative to the elements = -0.05 eV/atom
crystal system = orthorhombic
DFT total energy = -4.767 eV per atom

a b c (Å): 5.1980 8.8620 4.9826
angles (deg): 90.00 90.00 72.95
With the nearest neighbours (Å) after each atom.
Element x y z (fractional)
1 Cd 0.8300 0.4012 0.0000  6 Zr 3.06-3.08, 5 Cd 3.07-3.37
2 Cd 0.2362 0.6000 0.0000  8 Cd 3.05-3.12, 4 Zr 3.24-3.33
3 Cd 0.6311 0.7988 0.0000  6 Zr 3.06-3.08, 5 Cd 3.07-3.37
4 Cd 0.4402 0.4030 0.5000  5 Cd 3.05-3.34, 7 Zr 3.05-3.41
5 Cd 0.2431 0.7970 0.5000  5 Cd 3.05-3.34, 7 Zr 3.05-3.41
6 Zr 0.4260 0.2070 0.0000  5 Cd 3.05-3.33, 6 Zr 3.09-3.25
7 Zr 0.0330 0.9930 0.0000  5 Cd 3.05-3.33, 6 Zr 3.09-3.25
8 Zr 0.6276 0.0008 0.5000  5 Cd 3.06-3.41, 7 Zr 3.09-3.40
9 Zr 0.0283 0.1992 0.5000  5 Cd 3.06-3.41, 7 Zr 3.09-3.40
10 Zr 0.8375 0.6000 0.5000  10 Cd 3.06-3.24, 2 Zr 3.40

DFT (PBE) results for a relaxed ZrCd crystal.

## Properties
energy relative to the elements = -0.07 eV/atom
crystal system = orthorhombic
DFT total energy = -4.793 eV per atom

a b c (Å): 11.0019 3.1080 5.1729
angles (deg): 90.00 90.00 90.00
With the nearest neighbours (Å) after each atom.
Element x y z (fractional)
1 Cd 0.5062 0.0000 0.0000  10 Cd 3.08-3.20, 2 Zr 3.17
2 Cd 0.2592 0.5000 0.0000  6 Cd 3.08-3.13, 6 Zr 3.18-3.21
3 Cd 0.6575 0.0000 0.5000  6 Cd 3.08-3.13, 6 Zr 3.18-3.21
4 Cd 0.4104 0.5000 0.5000  10 Cd 3.08-3.20, 2 Zr 3.17
5 Zr 0.0066 0.0000 0.0000  10 Zr 3.08-3.20, 2 Cd 3.18
6 Zr 0.7576 0.5000 0.0000  6 Zr 3.08-3.15, 6 Cd 3.17-3.21
7 Zr 0.1591 0.0000 0.5000  6 Zr 3.08-3.15, 6 Cd 3.17-3.21
8 Zr 0.9101 0.5000 0.5000  10 Zr 3.08-3.20, 2 Cd 3.18

DFT (PBE) results for a relaxed ZrCd2 crystal.

## Properties
energy relative to the elements = -0.03 eV/atom
crystal system = cubic
DFT total energy = -3.476 eV per atom

a b c (Å): 5.6345 5.6345 5.6345
angles (deg): 60.00 60.00 60.00
With the nearest neighbours (Å) after each atom.
Element x y z (fractional)
1 Cd 0.6250 0.6250 0.1250  6 Cd 2.82
2 Cd 0.6250 0.1250 0.6250  6 Cd 2.82
3 Cd 0.1250 0.6250 0.6250  6 Cd 2.82
4 Cd 0.6250 0.6250 0.6250  6 Cd 2.82
5 Zr 0.0000 0.0000 0.0000  12 Cd 3.30, 4 Zr 3.45
6 Zr 0.2500 0.2500 0.2500  12 Cd 3.30, 4 Zr 3.45

DFT (PBE) results for a relaxed Zr3Cd crystal.

## Properties
energy relative to the elements = -0.01 eV/atom
crystal system = orthorhombic
DFT total energy = -6.641 eV per atom

a b c (Å): 6.7120 6.2693 5.0639
angles (deg): 90.00 90.00 122.29
With the nearest neighbours (Å) after each atom.
Element x y z (fractional)
1 Cd 0.0125 0.5252 0.0000  10 Zr 3.12-3.36, 2 Cd 3.25
2 Cd 0.8208 0.1415 0.5000  10 Zr 3.12-3.36, 2 Cd 3.25
3 Zr 0.0195 0.0273 0.0000  8 Zr 3.07-3.44, 4 Cd 3.12-3.15
4 Zr 0.5076 0.0276 0.0000  7 Zr 3.06-3.28, 4 Cd 3.12-3.15
5 Zr 0.5083 0.5165 0.0000  10 Zr 3.06-3.21, 2 Cd 3.36
6 Zr 0.3251 0.1502 0.5000  10 Zr 3.06-3.21, 2 Cd 3.36
7 Zr 0.3258 0.6391 0.5000  7 Zr 3.06-3.28, 4 Cd 3.12-3.15
8 Zr 0.8139 0.6394 0.5000  8 Zr 3.07-3.44, 4 Cd 3.12-3.15

DFT (PBE) results for a relaxed ZrCd crystal.

## Properties
energy relative to the elements = -0.04 eV/atom
crystal system = monoclinic
DFT total energy = -4.762 eV per atom

a b c (Å): 8.5024 6.2823 5.0919
angles (deg): 90.00 90.00 101.65
With the nearest neighbours (Å) after each atom.
Element x y z (fractional)
1 Cd 0.6762 0.1719 0.0000  5 Zr 3.06-3.31, 7 Cd 3.10-3.23
2 Cd 0.3437 0.3454 0.0000  4 Cd 3.02-3.23, 8 Zr 3.07-3.27
3 Cd 0.6842 0.6815 0.0000  9 Cd 3.02-3.28, 3 Zr 3.21-3.26
4 Cd 0.5381 0.3741 0.5000  9 Cd 3.02-3.28, 3 Zr 3.21-3.26
5 Cd 0.8785 0.7102 0.5000  4 Cd 3.02-3.23, 8 Zr 3.07-3.27
6 Cd 0.5461 0.8837 0.5000  5 Zr 3.06-3.31, 7 Cd 3.10-3.23
7 Zr 0.0249 0.0143 0.0000  7 Zr 2.93-3.19, 4 Cd 3.07-3.27
8 Zr 0.0193 0.5072 0.0000  7 Zr 2.97-3.23, 5 Cd 3.13-3.25
9 Zr 0.3425 0.8420 0.0000  6 Cd 3.06-3.26, 6 Zr 3.10-3.23
10 Zr 0.1973 0.0412 0.5000  7 Zr 2.93-3.19, 4 Cd 3.07-3.27
11 Zr 0.8798 0.2136 0.5000  6 Cd 3.06-3.26, 6 Zr 3.10-3.23
12 Zr 0.2028 0.5484 0.5000  7 Zr 2.97-3.23, 5 Cd 3.13-3.25

Question: Look up the DFT total energy of the eighth one.
Answer: -4.767 eV per atom